Below is a relaxed structure of LaNd2Sm2Mg, with properties calculated at the GGA-PBE level.

Total magnetization in μB per atom: 0.027
E_form in eV/atom: 0.201
VASP energy in eV/atom: -4.05
Symmetry: Pnnm

Lattice parameters (Å, degrees): 3.467 6.239 19.024 90.00 90.00 90.00
Fractional positions:
La: 0.000 0.000 0.000
La: 0.500 0.500 0.500
Nd: 0.500 0.834 0.363
Nd: 0.500 0.166 0.637
Nd: 0.000 0.666 0.863
Nd: 0.000 0.334 0.137
Sm: 0.500 0.336 0.298
Sm: 0.000 0.836 0.202
Sm: 0.500 0.664 0.702
Sm: 0.000 0.164 0.798
Mg: 0.500 0.500 0.000
Mg: 0.000 0.000 0.500